# 1
Crystalline SbP2Br at its relaxed geometry. Source: Alexandria via LeMat-Bulk, functional GGA-PBE.

ΔE to the lowest computed polymorph, kJ/mol of atoms: 60.2
Formation energy (no corrections), meV per atom: 710.3
SG: Fm-3m, No. 225

Cell: 4.8509 4.8509 4.8509 Å, 60.00 60.00 60.00°
Positions (direct):
P: 0.2500 0.2500 0.2500
Sb: 0.5000 0.5000 0.5000
P: 0.7500 0.7500 0.7500
Br: 0.0000 0.0000 0.0000

---

# 2
Crystalline SbPBr at its relaxed geometry. Source: Alexandria via LeMat-Bulk, functional GGA-PBE.

ΔE to the lowest computed polymorph, kJ/mol of atoms: 38.3
Formation energy (no corrections), meV per atom: 393.7
SG: F-43m, No. 216

Cell: 4.8784 4.8784 4.8784 Å, 60.00 60.00 60.00°
Positions (direct):
Br: 0.0000 0.0000 0.0000
Sb: 0.7500 0.7500 0.7500
P: 0.5000 0.5000 0.5000

---

# 3
Crystalline SbP2Br at its relaxed geometry. Source: Alexandria via LeMat-Bulk, functional GGA-PBE.

ΔE to the lowest computed polymorph, kJ/mol of atoms: 10.1
Formation energy (no corrections), meV per atom: 191.2
SG: C2/m, No. 12

Cell: 6.1436 6.1436 5.2121 Å, 80.09 80.09 30.95°
Positions (direct):
P: 0.0225 0.0225 0.8722
P: 0.4775 0.4775 0.6278
Sb: 0.7500 0.7500 0.7500
Br: 0.2500 0.2500 0.2500

---

# 4
Crystalline SbPBr at its relaxed geometry. Source: Alexandria via LeMat-Bulk, functional GGA-PBE.

ΔE to the lowest computed polymorph, kJ/mol of atoms: 8.0
Formation energy (no corrections), meV per atom: 79.1
SG: I4mm, No. 107

Cell: 7.1927 7.1927 7.1927 Å, 150.16 150.16 42.71°
Positions (direct):
Br: 0.9780 0.9780 0.0000
P: 0.2334 0.2334 0.0000
Sb: 0.7886 0.7886 0.0000

---

# 5
Crystalline SbP2Br at its relaxed geometry. Source: Alexandria via LeMat-Bulk, functional GGA-PBE.

ΔE to the lowest computed polymorph, kJ/mol of atoms: 13.9
Formation energy (no corrections), meV per atom: 230.0
SG: P4mm, No. 99

Cell: 3.3880 3.3867 7.9262 Å, 90.00 90.00 90.00°
Positions (direct):
P: 0.0000 0.0000 0.1257
Br: 0.5000 0.5000 0.7268
Sb: 0.0000 0.0000 0.4625
P: 0.5000 0.5000 0.1850

---

# 6
Crystalline SbP2Br at its relaxed geometry. Source: Alexandria via LeMat-Bulk, functional GGA-PBE.

ΔE to the lowest computed polymorph, kJ/mol of atoms: 29.1
Formation energy (no corrections), meV per atom: 388.4
SG: R-3m, No. 166

Cell: 7.0991 7.0991 7.0991 Å, 32.26 32.26 32.26°
Positions (direct):
P: 0.9901 0.9901 0.9901
Sb: 0.2500 0.2500 0.2500
Br: 0.7500 0.7500 0.7500
P: 0.5099 0.5099 0.5099

---

# 7
Crystalline SbPBr at its relaxed geometry. Source: Alexandria via LeMat-Bulk, functional GGA-PBE.

ΔE to the lowest computed polymorph, kJ/mol of atoms: 34.0
Formation energy (no corrections), meV per atom: 348.9
SG: Fmm2, No. 42

Cell: 8.3424 6.9963 5.2312 Å, 84.73 56.63 38.64°
Positions (direct):
P: 0.6915 0.6915 0.3085
Sb: 0.3142 0.3142 0.6858
Br: 0.9942 0.9942 0.0058

---

# 8
Crystalline SbP2Br at its relaxed geometry. Source: Alexandria via LeMat-Bulk, functional GGA-PBE.

ΔE to the lowest computed polymorph, kJ/mol of atoms: 11.1
Formation energy (no corrections), meV per atom: 201.3
SG: Pm, No. 6

Cell: 4.6369 3.9602 6.1281 Å, 68.34 90.00 90.00°
Positions (direct):
Br: 0.5000 0.7336 0.8071
P: 0.5000 0.2580 0.1685
P: 0.0000 0.0883 0.1151
Sb: 0.0000 0.4202 0.4093

---

# 9
Crystalline SbP2Br at its relaxed geometry. Source: Alexandria via LeMat-Bulk, functional GGA-PBE.

ΔE to the lowest computed polymorph, kJ/mol of atoms: 58.9
Formation energy (no corrections), meV per atom: 696.5
SG: F-43m, No. 216

Cell: 4.8772 4.8772 4.8772 Å, 60.00 60.00 60.00°
Positions (direct):
P: 0.2500 0.2500 0.2500
P: 0.0000 0.0000 0.0000
Sb: 0.7500 0.7500 0.7500
Br: 0.5000 0.5000 0.5000

---

# 10
Crystalline SbP2Br8 at its relaxed geometry. Source: Alexandria via LeMat-Bulk, functional GGA-PBE.

Formation energy (no corrections), meV per atom: -301.5
SG: P-1, No. 2

Cell: 10.0795 8.8749 8.4994 Å, 80.23 46.65 59.06°
Positions (direct):
Br: 0.6446 0.6565 0.8972
Br: 0.3176 0.6784 0.6821
Br: 0.6573 0.9435 0.1667
Br: 0.0019 0.1623 0.7030
Br: 0.6824 0.3216 0.3179
Br: 0.9981 0.8377 0.2970
Br: 0.3554 0.3435 0.1028
P: 0.6166 0.0457 0.9231
Sb: 0.0000 0.0000 0.0000
Br: 0.3427 0.0565 0.8333
P: 0.3834 0.9543 0.0769

---

# 11
Crystalline SbPBr3 at its relaxed geometry. Source: Alexandria via LeMat-Bulk, functional GGA-PBE.

ΔE to the lowest computed polymorph, kJ/mol of atoms: 4.6
Formation energy (no corrections), meV per atom: 357.7
SG: Pm-3m, No. 221

Cell: 5.1536 5.1536 5.1536 Å, 90.00 90.00 90.00°
Positions (direct):
Br: 0.0000 0.0000 0.5000
Br: 0.0000 0.5000 0.0000
Br: 0.5000 0.0000 0.0000
Sb: 0.5000 0.5000 0.5000
P: 0.0000 0.0000 0.0000

---

# 12
Crystalline SbPBr at its relaxed geometry. Source: Alexandria via LeMat-Bulk, functional GGA-PBE.

ΔE to the lowest computed polymorph, kJ/mol of atoms: 0.0
Formation energy (no corrections), meV per atom: -3.6
SG: P3m1, No. 156

Cell: 3.8558 3.8558 6.4121 Å, 90.00 90.00 120.00°
Positions (direct):
P: 0.6667 0.3333 0.4130
Sb: 0.3333 0.6667 0.6261
Br: 0.0000 0.0000 0.9610

---

# 13
Crystalline SbPBr at its relaxed geometry. Source: Alexandria via LeMat-Bulk, functional GGA-PBE.

ΔE to the lowest computed polymorph, kJ/mol of atoms: 38.1
Formation energy (no corrections), meV per atom: 391.7
SG: P3m1, No. 156

Cell: 4.9388 4.9388 3.2197 Å, 90.00 90.00 120.00°
Positions (direct):
P: 0.6667 0.3333 0.5007
Br: 0.0000 0.0000 0.9987
Sb: 0.3333 0.6667 0.5006

---

# 14
Crystalline Sb4PBr at its relaxed geometry. Source: Alexandria via LeMat-Bulk, functional GGA-PBE.

Formation energy (no corrections), meV per atom: 588.7
SG: F-43m, No. 216

Cell: 6.1728 6.1728 6.1728 Å, 60.00 60.00 60.00°
Positions (direct):
Sb: 0.8677 0.3774 0.3774
Sb: 0.3774 0.8677 0.3774
Sb: 0.3774 0.3774 0.8677
P: 0.0000 0.0000 0.0000
Sb: 0.3774 0.3774 0.3774
Br: 0.7500 0.7500 0.7500

---

# 15
Crystalline SbP2Br at its relaxed geometry. Source: Alexandria via LeMat-Bulk, functional GGA-PBE.

ΔE to the lowest computed polymorph, kJ/mol of atoms: 3.4
Formation energy (no corrections), meV per atom: 121.8
SG: R3m, No. 160

Cell: 9.8513 9.8513 9.8513 Å, 19.93 19.93 19.93°
Positions (direct):
P: 0.2698 0.2698 0.2698
P: 0.9775 0.9775 0.9775
Br: 0.7545 0.7545 0.7545
Sb: 0.4982 0.4982 0.4982

---

# 16
Crystalline SbP2Br at its relaxed geometry. Source: Alexandria via LeMat-Bulk, functional GGA-PBE.

ΔE to the lowest computed polymorph, kJ/mol of atoms: 0.0
Formation energy (no corrections), meV per atom: 86.4
SG: P2/m, No. 10

Cell: 3.9549 4.9261 6.3705 Å, 58.72 90.00 90.00°
Positions (direct):
P: 0.0000 0.5144 0.3921
Br: 0.5000 0.7500 0.7500
P: 0.0000 0.9856 0.1079
Sb: 0.5000 0.2500 0.2500

---

# 17
Crystalline SbPBr3 at its relaxed geometry. Source: Alexandria via LeMat-Bulk, functional GGA-PBE.

ΔE to the lowest computed polymorph, kJ/mol of atoms: 0.0
Formation energy (no corrections), meV per atom: 309.9
SG: Pm-3m, No. 221

Cell: 5.6218 5.6218 5.6218 Å, 90.00 90.00 90.00°
Positions (direct):
Br: 0.5000 0.0000 0.0000
Br: 0.0000 0.5000 0.0000
Sb: 0.0000 0.0000 0.0000
P: 0.5000 0.5000 0.5000
Br: 0.0000 0.0000 0.5000

---

# 18
Crystalline ScSb2PBr at its relaxed geometry. Source: Alexandria via LeMat-Bulk, functional GGA-PBE.

Formation energy (no corrections), meV per atom: 751.1
SG: P4/mmm, No. 123

Cell: 5.3886 4.8631 5.3886 Å, 90.00 90.00 90.00°
Positions (direct):
Sc: 0.5000 0.5000 0.5000
P: 0.0000 0.5000 0.0000
Sb: 0.0000 0.0000 0.5000
Sb: 0.5000 0.0000 0.0000
Br: 0.0000 0.0000 0.0000

---

# 19
Crystalline SbPSe2Br at its relaxed geometry. Source: Alexandria via LeMat-Bulk, functional GGA-PBE.

ΔE to the lowest computed polymorph, kJ/mol of atoms: 43.1
Formation energy (no corrections), meV per atom: 773.4
SG: P4/mmm, No. 123

Cell: 5.3892 5.3892 5.4741 Å, 90.00 90.00 90.00°
Positions (direct):
Br: 0.0000 0.0000 0.5000
Se: 0.0000 0.5000 0.0000
Se: 0.5000 0.0000 0.0000
Sb: 0.0000 0.0000 0.0000
P: 0.5000 0.5000 0.5000

---

# 20
Crystalline SbPSe2Br at its relaxed geometry. Source: Alexandria via LeMat-Bulk, functional GGA-PBE.

ΔE to the lowest computed polymorph, kJ/mol of atoms: 0.0
Formation energy (no corrections), meV per atom: 326.2
SG: P4/mmm, No. 123

Cell: 4.9840 4.9840 4.8554 Å, 90.00 90.00 90.00°
Positions (direct):
Se: 0.5000 0.0000 0.0000
Br: 0.0000 0.0000 0.5000
Sb: 0.5000 0.5000 0.5000
P: 0.0000 0.0000 0.0000
Se: 0.0000 0.5000 0.0000

---

Number 1: DFT total energy -3.44 eV/atom. Number 2: DFT total energy -3.34 eV/atom. Number 3: DFT total energy -3.96 eV/atom. Number 4: DFT total energy -3.66 eV/atom. Number 5: DFT total energy -3.92 eV/atom. Number 6: DFT total energy -3.77 eV/atom. Number 7: DFT total energy -3.39 eV/atom. Number 8: DFT total energy -3.95 eV/atom. Number 9: DFT total energy -3.46 eV/atom. Number 10: DFT total energy -2.88 eV/atom. Number 11: DFT total energy -2.55 eV/atom. Number 12: DFT total energy -3.74 eV/atom. Number 13: DFT total energy -3.34 eV/atom. Number 14: DFT total energy -3.34 eV/atom. Number 15: DFT total energy -4.03 eV/atom. Number 16: DFT total energy -4.07 eV/atom. Number 17: DFT total energy -2.60 eV/atom. Number 18: DFT total energy -3.58 eV/atom. Number 19: DFT total energy -2.86 eV/atom. Number 20: DFT total energy -3.31 eV/atom.